Record 1
Compound: SrLiAcRu
Source: Alexandria via LeMat-Bulk
Functional: PBE
Structure: relaxed

Geometry as POSCAR:
```
SrLiAcRu
1.0
5.314 0.000 0.000
2.657 4.602 0.000
2.657 1.534 4.339
Li Ru Ac Sr
1 1 1 1
direct
0.750 0.750 0.750
0.250 0.250 0.250
0.500 0.500 0.500
0.000 0.000 0.000
```

**Theoretical density**: 6.6 g/cm³
**Formation enthalpy at 0 K**: 13 kJ/mol of atoms
**Magnetic moment**: 0.0 μB/f.u.
**Total energy**: -4.11 eV/atom



Record 2
Compound: TbPm3NdDy
Source: Alexandria via LeMat-Bulk
Functional: PBE
Structure: relaxed

Geometry as POSCAR:
```
TbPm3NdDy
1.0
-0.501 -4.381 2.625
0.022 -4.160 -6.938
9.653 1.688 4.658
Nd Pm Tb Dy
2 6 2 2
direct
0.750 0.877 0.708
0.250 0.123 0.292
0.750 0.873 0.042
0.250 0.623 0.792
0.750 0.373 0.542
0.250 0.127 0.958
0.750 0.377 0.208
0.250 0.627 0.458
0.250 0.625 0.125
0.750 0.375 0.875
0.250 0.125 0.625
0.750 0.875 0.375
```

**Theoretical density**: 7.4 g/cm³
**Formation enthalpy at 0 K**: 2 kJ/mol of atoms
**Magnetic moment**: 0.0 μB/f.u.
**Total energy**: -4.69 eV/atom



Record 3
Compound: BaDyMgAl
Source: Alexandria via LeMat-Bulk
Functional: PBE
Structure: relaxed

Geometry as POSCAR:
```
BaDyMgAl
1.0
5.572 0.000 0.000
2.786 4.826 0.000
2.786 1.609 4.550
Dy Mg Ba Al
1 1 1 1
direct
0.250 0.250 0.250
0.000 0.000 0.000
0.750 0.750 0.750
0.500 0.500 0.500
```

**Theoretical density**: 4.8 g/cm³
**Formation enthalpy at 0 K**: -1 kJ/mol of atoms
**Magnetic moment**: 0.0 μB/f.u.
**Total energy**: -2.98 eV/atom



Record 4
Compound: CrCo2Rh2
Source: Alexandria via LeMat-Bulk
Functional: PBE
Structure: relaxed

Geometry as POSCAR:
```
CrCo2Rh2
1.0
-4.467 3.869 0.457
-2.983 -2.950 -4.186
-1.537 -2.077 2.559
Rh Co Cr
4 4 2
direct
0.833 0.333 0.500
0.667 0.833 0.500
0.167 0.667 0.500
0.333 0.167 0.500
0.866 0.634 0.000
0.134 0.366 0.000
0.366 0.866 0.000
0.634 0.134 0.000
0.000 0.000 0.000
0.500 0.500 0.000
```

**Theoretical density**: 9.8 g/cm³
**Formation enthalpy at 0 K**: 27 kJ/mol of atoms
**Magnetic moment**: 2.9 μB/f.u.
**Total energy**: -7.43 eV/atom
**ΔE to the lowest computed polymorph**: 0 meV/atom



Record 5
Compound: Mg2Bi2Ir
Source: Alexandria via LeMat-Bulk
Functional: PBE
Structure: relaxed

Geometry as POSCAR:
```
Mg2Bi2Ir
1.0
7.209 0.000 0.000
0.000 7.209 0.000
0.000 0.000 4.896
Bi Mg Ir
4 4 2
direct
0.346 0.846 0.000
0.846 0.654 0.000
0.654 0.154 0.000
0.154 0.346 0.000
0.165 0.665 0.500
0.335 0.165 0.500
0.835 0.335 0.500
0.665 0.835 0.500
0.500 0.500 0.000
0.000 0.000 0.000
```

**Theoretical density**: 8.6 g/cm³
**Formation enthalpy at 0 K**: 19 kJ/mol of atoms
**Magnetic moment**: 0.0 μB/f.u.
**Total energy**: -3.77 eV/atom



Record 6
Compound: Cd2PbAu
Source: Alexandria via LeMat-Bulk
Functional: PBE
Structure: relaxed

Geometry as POSCAR:
```
Cd2PbAu
1.0
-1.947 3.000 3.166
1.152 -2.125 2.722
5.233 2.219 1.116
Cd Pb Au
2 1 1
direct
0.000 0.899 0.980
0.000 0.601 0.520
0.500 0.250 0.250
0.500 0.750 0.750
```

**Theoretical density**: 10.6 g/cm³
**Formation enthalpy at 0 K**: -1 kJ/mol of atoms
**Magnetic moment**: 0.0 μB/f.u.
**Total energy**: -2.21 eV/atom



Record 7
Compound: Re5As4
Source: Alexandria via LeMat-Bulk
Functional: PBE
Structure: relaxed

Geometry as POSCAR:
```
Re5As4
1.0
-5.816 -3.920 -2.198
6.798 -2.342 -1.525
0.106 -3.040 5.141
As Re
8 10
direct
0.376 0.000 0.250
0.624 0.000 0.750
0.376 0.376 0.750
0.000 0.624 0.750
0.000 0.000 0.500
0.000 0.000 0.000
0.000 0.376 0.250
0.624 0.624 0.250
0.333 0.667 0.000
0.698 0.698 0.750
0.000 0.698 0.250
0.302 0.000 0.750
0.667 0.333 0.500
0.333 0.667 0.500
0.000 0.302 0.750
0.667 0.333 0.000
0.302 0.302 0.250
0.698 0.000 0.250
```

**Theoretical density**: 14.6 g/cm³
**Formation enthalpy at 0 K**: 65 kJ/mol of atoms
**Magnetic moment**: 0.0 μB/f.u.
**Total energy**: -8.31 eV/atom



Record 8
Compound: YFeBr2
Source: Alexandria via LeMat-Bulk
Functional: PBE
Structure: relaxed

Geometry as POSCAR:
```
YFeBr2
1.0
-0.453 -1.858 3.262
5.264 0.997 1.298
-1.186 3.717 1.953
Fe Y Br
1 1 2
direct
0.500 0.000 0.500
0.000 0.500 0.500
0.500 0.500 0.000
0.000 0.000 0.000
```

**Theoretical density**: 5.6 g/cm³
**Magnetic moment**: 2.7 μB/f.u.
**Total energy**: -4.77 eV/atom
**Formation energy from raw total energies**: -0.21 eV/atom
**ΔE to the lowest computed polymorph**: 380 meV/atom



Record 9
Compound: PmZrIn
Source: Alexandria via LeMat-Bulk
Functional: PBE
Structure: relaxed

Geometry as POSCAR:
```
PmZrIn
1.0
3.328 0.000 0.000
0.000 3.328 0.000
-1.664 -1.664 7.111
Zr Pm In
1 1 1
direct
0.322 0.322 0.645
0.003 0.003 0.006
0.675 0.675 0.349
```

**Theoretical density**: 7.4 g/cm³
**Formation enthalpy at 0 K**: -15 kJ/mol of atoms
**Magnetic moment**: 0.0 μB/f.u.
**Total energy**: -5.50 eV/atom
**ΔE to the lowest computed polymorph**: 0 meV/atom



Record 10
Compound: DyGa6Ni12
Source: Alexandria via LeMat-Bulk
Functional: PBE
Structure: relaxed

Geometry as POSCAR:
```
DyGa6Ni12
1.0
-5.192 2.475 -3.379
-2.260 -0.935 6.206
4.326 5.056 0.475
Ga Ni Dy
6 12 1
direct
0.275 0.711 0.275
0.711 0.275 0.275
0.275 0.275 0.711
0.725 0.289 0.725
0.725 0.725 0.289
0.289 0.725 0.725
0.500 0.886 0.114
0.886 0.500 0.114
0.146 0.391 0.391
0.500 0.114 0.886
0.886 0.114 0.500
0.114 0.886 0.500
0.854 0.609 0.609
0.391 0.146 0.391
0.609 0.854 0.609
0.391 0.391 0.146
0.114 0.500 0.886
0.609 0.609 0.854
0.000 0.000 0.000
```

**Theoretical density**: 8.2 g/cm³
**Formation enthalpy at 0 K**: -22 kJ/mol of atoms
**Magnetic moment**: 0.0 μB/f.u.
**Total energy**: -5.08 eV/atom



Record 11
Compound: LiH4Pd2Pt
Source: Alexandria via LeMat-Bulk
Functional: PBE
Structure: relaxed

Geometry as POSCAR:
```
LiH4Pd2Pt
1.0
4.168 0.170 0.000
-0.176 4.168 0.000
-1.996 -2.169 4.376
H Pt Pd Li
4 1 2 1
direct
0.410 0.856 0.266
0.590 0.590 0.734
0.144 0.144 0.734
0.856 0.410 0.266
0.500 0.500 0.000
0.750 0.250 0.500
0.250 0.750 0.500
0.000 0.000 0.000
```

**Theoretical density**: 9.1 g/cm³
**Magnetic moment**: 0.0 μB/f.u.
**Total energy**: -4.18 eV/atom



Record 12
Compound: BPb
Source: Alexandria via LeMat-Bulk
Functional: PBE
Structure: relaxed

Geometry as POSCAR:
```
BPb
1.0
8.029 0.000 0.000
0.000 11.751 0.000
0.000 0.000 8.258
Pb B
16 16
direct
0.500 0.000 0.210
0.500 0.500 0.290
0.000 0.000 0.710
0.250 0.750 0.540
0.500 0.500 0.710
0.750 0.750 0.460
0.250 0.250 0.040
0.750 0.250 0.540
0.750 0.250 0.960
0.250 0.750 0.960
0.250 0.250 0.460
0.000 0.000 0.290
0.000 0.500 0.790
0.500 0.000 0.790
0.000 0.500 0.210
0.750 0.750 0.040
0.000 0.652 0.000
0.000 0.348 0.000
0.500 0.848 0.000
0.000 0.152 0.500
0.500 0.152 0.000
0.750 0.598 0.250
0.750 0.098 0.750
0.000 0.848 0.500
0.250 0.098 0.250
0.750 0.902 0.250
0.250 0.598 0.750
0.500 0.652 0.500
0.250 0.902 0.750
0.500 0.348 0.500
0.750 0.402 0.750
0.250 0.402 0.250
```

**Theoretical density**: 7.4 g/cm³
**Formation enthalpy at 0 K**: 130 kJ/mol of atoms
**Magnetic moment**: 0.0 μB/f.u.
**Total energy**: -3.85 eV/atom
**ΔE to the lowest computed polymorph**: 534 meV/atom



Record 13
Compound: LiLaPt2
Source: Alexandria via LeMat-Bulk
Functional: PBE
Structure: relaxed

Geometry as POSCAR:
```
LiLaPt2
1.0
9.350 0.101 0.059
8.824 3.093 0.059
8.824 1.550 2.677
La Pt Li
1 2 1
direct
0.250 0.250 0.250
0.490 0.490 0.490
0.010 0.010 0.010
0.750 0.750 0.750
```

**Theoretical density**: 12.1 g/cm³
**Formation enthalpy at 0 K**: -27 kJ/mol of atoms
**Magnetic moment**: 0.7 μB/f.u.
**Total energy**: -5.01 eV/atom



Record 14
Compound: ScFe2
Source: Alexandria via LeMat-Bulk
Functional: PBE
Structure: relaxed

Geometry as POSCAR:
```
ScFe2
1.0
4.928 0.000 0.000
-2.464 4.268 0.000
0.000 0.000 16.050
Fe Sc
16 8
direct
0.000 0.500 0.500
0.835 0.165 0.250
0.667 0.333 0.124
0.331 0.165 0.250
0.500 0.000 0.000
0.165 0.835 0.750
0.669 0.835 0.750
0.500 0.500 0.000
0.165 0.331 0.750
0.500 0.500 0.500
0.333 0.667 0.876
0.000 0.500 0.000
0.500 0.000 0.500
0.667 0.333 0.376
0.333 0.667 0.624
0.835 0.669 0.250
0.000 0.000 0.094
0.667 0.333 0.656
0.000 0.000 0.406
0.000 0.000 0.906
0.333 0.667 0.344
0.667 0.333 0.844
0.333 0.667 0.156
0.000 0.000 0.594
```

**Theoretical density**: 6.2 g/cm³
**Formation enthalpy at 0 K**: -26 kJ/mol of atoms
**Magnetic moment**: 2.8 μB/f.u.
**Total energy**: -8.02 eV/atom



Record 15
Compound: Rb3Np3CuTe8
Source: Alexandria via LeMat-Bulk
Functional: PBE
Structure: relaxed

Geometry as POSCAR:
```
Rb3Np3CuTe8
1.0
9.158 0.000 0.000
-4.579 7.472 0.107
0.000 -4.785 8.570
Te Np Cu Rb
8 3 1 3
direct
0.198 0.397 0.668
0.245 0.955 0.701
0.266 0.532 0.299
0.734 0.468 0.701
0.290 0.045 0.299
0.755 0.045 0.299
0.710 0.955 0.701
0.802 0.603 0.332
0.500 0.000 0.500
0.500 0.500 0.500
0.000 0.500 0.500
0.000 0.000 0.500
0.000 0.000 0.000
0.500 0.500 0.000
0.000 0.500 0.000
```

**Theoretical density**: 5.8 g/cm³
**Magnetic moment**: 9.4 μB/f.u.
**Total energy**: -5.39 eV/atom
**Formation energy from raw total energies**: -0.66 eV/atom



Record 16
Compound: Rb3UF6
Source: Alexandria via LeMat-Bulk
Functional: PBE
Structure: relaxed

Geometry as POSCAR:
```
Rb3UF6
1.0
7.185 0.035 -0.051
-3.380 6.340 0.051
3.380 2.306 5.906
Rb F U
3 6 1
direct
0.000 0.500 0.500
0.500 0.250 0.250
0.500 0.750 0.750
0.302 0.000 0.698
0.000 0.233 0.767
0.302 0.302 0.000
0.698 0.698 0.000
0.000 0.767 0.233
0.698 0.000 0.302
0.000 0.000 0.000
```

**Theoretical density**: 3.7 g/cm³
**Magnetic moment**: 2.5 μB/f.u.
**Total energy**: -5.49 eV/atom
**Formation energy from raw total energies**: -2.95 eV/atom